Below is an optimized crystal structure of BeFe2Ni8, with properties calculated at the PBE level.

## Properties
Crystal system   monoclinic
Density   8.271 g cm⁻³
M_tot   0.860 μB per atom
Energy of formation from the pure elements   -0.084 eV/atom

abc: 12.6071 3.5117 5.5525
angles: 90.00 105.39 90.00
With the nearest neighbours (Å) after each atom.
Space group C2/m (No. 12)
Inequivalent atoms, fractional coordinates:
Be 0.0000 0.0000 0.0000  12 Ni 2.43-2.46
Fe 0.2267 0.5000 0.6452  10 Ni 2.45-2.54, 2 Fe 2.55
Ni 0.0436 0.5000 0.7300  9 Ni 2.43-2.52, 2 Be 2.46, 1 Fe 2.48
Ni 0.0905 0.0000 0.4502  1 Be 2.46, 8 Ni 2.46-2.52, 3 Fe 2.49-2.50
Ni 0.1349 0.5000 0.1792  7 Ni 2.43-2.53, 2 Be 2.46, 3 Fe 2.48-2.54
Ni 0.1782 0.0000 0.9087  1 Be 2.43, 3 Fe 2.45-2.46, 8 Ni 2.46-2.53

---

Below is an optimized crystal structure of Tb3Er2Tl4, with properties calculated at the PBE level.

## Properties
Crystal system   monoclinic
Density   10.363 g cm⁻³
M_tot   0.000 μB per atom
Energy of formation from the pure elements   -0.271 eV/atom

abc: 16.7610 4.8413 6.6812
angles: 90.00 105.66 90.00
With the nearest neighbours (Å) after each atom.
Space group C2/m (No. 12)
Inequivalent atoms, fractional coordinates:
Tb 0.0000 0.0000 0.0000  4 Tl 3.05
Tb 0.1103 0.0000 0.5854  7 Tl 3.25-3.42, 1 Tb 3.56
Er 0.1711 0.5000 0.0645  5 Tl 3.10-3.39
Tl 0.0106 0.5000 0.2839  1 Tl 3.00, 4 Tb 3.05-3.30, 1 Er 3.30
Tl 0.2486 0.5000 0.6667  3 Er 3.10-3.26, 3 Tb 3.25-3.29, 2 Tl 3.30

---

Below is an optimized crystal structure of NpScSe2, with properties calculated at the PBE level.

## Properties
Crystal system   trigonal
Formation energy without anion corrections   -1.331 eV/atom
Density   8.160 g cm⁻³
M_tot   1.136 μB per atom

abc: 3.9491 3.9491 19.8845
angles: 90.00 90.00 120.00
With the nearest neighbours (Å) after each atom.
Space group R-3m (No. 166, hexagonal axes)
Inequivalent atoms, fractional coordinates:
Np 0.0000 0.0000 0.0000  6 Se 2.89
Sc 0.0000 0.0000 0.5000  6 Se 2.75
Se 0.0000 0.0000 0.2436  3 Sc 2.75, 3 Np 2.89

---

Below is an optimized crystal structure of GaGe2Br, with properties calculated at the PBE level.

## Properties
Crystal system   tetragonal
Formation energy without anion corrections   0.323 eV/atom
Density   4.107 g cm⁻³
M_tot   0.000 μB per atom

abc: 6.0467 6.0467 13.0436
angles: 90.00 90.00 90.00
With the nearest neighbours (Å) after each atom.
Space group I-42d (No. 122)
Inequivalent atoms, fractional coordinates:
Ga 0.0000 0.0000 0.0000  4 Ge 2.53
Ge 0.1984 0.2500 0.1250  2 Ga 2.53
Br 0.0000 0.0000 0.5000  4 Ge 2.88

---

Below is an optimized crystal structure of CdHgTe, with properties calculated at the PBE level.

## Properties
Crystal system   monoclinic
Formation energy without anion corrections   -0.135 eV/atom
Density   7.604 g cm⁻³
M_tot   0.000 μB per atom

abc: 8.2638 4.7885 10.1088
angles: 90.00 105.83 90.00
With the nearest neighbours (Å) after each atom.
Space group C2/m (No. 12)
Inequivalent atoms, fractional coordinates:
Cd 0.0770 0.0000 0.2362  3 Te 2.86
Hg 0.1897 0.0000 0.5677  3 Hg 3.06, 4 Cd 3.22-3.36
Te 0.1151 0.5000 0.8413  3 Cd 2.86

---

Below is an optimized crystal structure of CsHfAs2Br, with properties calculated at the PBE level.

## Properties
Crystal system   tetragonal
Formation energy without anion corrections   1.568 eV/atom
Density   4.842 g cm⁻³
M_tot   0.000 μB per atom

abc: 5.6148 5.6148 5.8868
angles: 90.00 90.00 90.00
With the nearest neighbours (Å) after each atom.
Space group P4/mmm (No. 123)
Inequivalent atoms, fractional coordinates:
Cs 0.0000 0.0000 0.0000  4 As 2.81, 2 Br 2.94
Hf 0.5000 0.5000 0.5000  4 Br 3.97, 8 As 4.07
As 0.0000 0.5000 0.0000  2 Cs 2.81
Br 0.0000 0.0000 0.5000  2 Cs 2.94

---

Below is an optimized crystal structure of NbCdPtAu, with properties calculated at the PBE level.

## Properties
Crystal system   cubic
Density   13.818 g cm⁻³
M_tot   0.000 μB per atom
Energy of formation from the pure elements   -0.193 eV/atom

abc: 6.5973 6.5973 6.5973
angles: 90.00 90.00 90.00
With the nearest neighbours (Å) after each atom.
Space group F-43m (No. 216)
Inequivalent atoms, fractional coordinates:
Nb 0.0000 0.0000 0.0000  4 Pt 2.86, 4 Au 2.86
Cd 0.0000 0.0000 0.5000  4 Au 2.86, 4 Pt 2.86
Pt 0.2500 0.2500 0.7500  4 Cd 2.86, 4 Nb 2.86
Au 0.2500 0.2500 0.2500  4 Nb 2.86, 4 Cd 2.86

---

Below is an optimized crystal structure of Tm2Mg2Cd, with properties calculated at the PBE level.

## Properties
Crystal system   monoclinic
Density   6.578 g cm⁻³
M_tot   0.000 μB per atom
Energy of formation from the pure elements   -0.094 eV/atom

abc: 11.1916 5.1993 9.1470
angles: 90.00 108.84 90.00
With the nearest neighbours (Å) after each atom.
Space group C2/m (No. 12)
Inequivalent atoms, fractional coordinates:
Tm 0.0421 0.0000 0.3465  5 Mg 3.14-3.36, 2 Cd 3.17-3.46, 2 Tm 3.24-3.34
Tm 0.1610 0.0000 0.0549  6 Mg 3.25-3.59, 3 Cd 3.27-3.56, 5 Tm 3.34-3.64
Mg 0.0258 0.5000 0.8565  1 Mg 2.86, 1 Cd 2.89, 2 Tm 3.14
Mg 0.1427 0.5000 0.5739  3 Cd 3.00-3.24, 2 Mg 3.04-3.25, 2 Tm 3.29
Cd 0.2461 0.5000 0.2819  4 Mg 2.89-3.24, 1 Tm 3.17

---

Below is an optimized crystal structure of CoOsW2N, with properties calculated at the PBE level.

## Properties
Crystal system   tetragonal
Formation energy without anion corrections   0.020 eV/atom
Density   16.457 g cm⁻³
M_tot   0.000 μB per atom

abc: 4.0839 4.0839 3.8165
angles: 90.00 90.00 90.00
With the nearest neighbours (Å) after each atom.
Space group P4/mmm (No. 123)
Inequivalent atoms, fractional coordinates:
Co 0.0000 0.0000 0.0000  2 N 1.91
Os 0.5000 0.5000 0.0000  8 W 2.79, 4 Co 2.89
W 0.0000 0.5000 0.5000  2 N 2.04
N 0.0000 0.0000 0.5000  2 Co 1.91, 4 W 2.04

---

Below is an optimized crystal structure of KNaCdF4, with properties calculated at the PBE level.

## Properties
Crystal system   tetragonal
Formation energy without anion corrections   -2.433 eV/atom
Density   3.276 g cm⁻³
M_tot   0.000 μB per atom

abc: 4.4493 4.4493 12.8289
angles: 90.00 90.00 90.00
With the nearest neighbours (Å) after each atom.
Space group I4mm (No. 107)
Inequivalent atoms, fractional coordinates:
K 0.0000 0.0000 0.0000  1 F 2.43
Na 0.0000 0.0000 0.7100  1 F 2.23
Cd 0.0000 0.0000 0.3605  6 F 2.19-2.25
F 0.0000 0.0000 0.1897  1 Cd 2.19, 1 K 2.43
F 0.0000 0.0000 0.5359  1 Na 2.23, 1 Cd 2.25
F 0.0000 0.5000 0.3541  2 Cd 2.23

---

Below is an optimized crystal structure of FeIrRh4, with properties calculated at the PBE level.

## Properties
Crystal system   cubic
Density   12.094 g cm⁻³
M_tot   0.537 μB per atom
Energy of formation from the pure elements   0.493 eV/atom

abc: 7.1289 7.1289 7.1289
angles: 90.00 90.00 90.00
With the nearest neighbours (Å) after each atom.
Space group F-43m (No. 216)
Inequivalent atoms, fractional coordinates:
Fe 0.0000 0.0000 0.0000  12 Rh 2.96, 4 Ir 3.09
Ir 0.2500 0.2500 0.2500  12 Rh 2.96, 4 Fe 3.09
Rh 0.1249 0.1249 0.6249  6 Rh 2.52

---

Below is an optimized crystal structure of BeAlCd, with properties calculated at the PBE level.

## Properties
Crystal system   orthorhombic
Density   4.990 g cm⁻³
M_tot   0.000 μB per atom
Energy of formation from the pure elements   0.365 eV/atom

abc: 2.6979 3.7205 9.8410
angles: 90.00 90.00 90.00
With the nearest neighbours (Å) after each atom.
Space group Imm2 (No. 44)
Inequivalent atoms, fractional coordinates:
Be 0.0000 0.0000 0.0000  4 Al 2.58, 2 Be 2.70, 4 Cd 2.88
Al 0.0000 0.0000 0.3819  4 Be 2.58, 2 Al 2.70
Cd 0.0000 0.0000 0.6768  2 Cd 2.70, 4 Be 2.88, 1 Al 2.90

---

Number 5 is which compound? CdHgTe